Entry 1:
Compound: NaCeH2
Source: Alexandria
Functional: PBE
Structure: relaxed

Output
Symmetry: P4/mmm, No. 123
Electronic total energy (eV per cell): -14.08
Excess energy over the best structure of this formula in the dataset (meV/atom): 184.4
Total magnetic moment (μB/cell): 1.526

```
NaCeH2
1.0
3.137 0.000 0.000
0.000 3.137 0.000
0.000 0.000 7.098
H Ce Na
2 1 1
Cartesian
0.000 0.000 1.058
0.000 0.000 6.040
1.569 1.569 0.000
1.569 1.569 3.549
```

Entry 2:
Compound: Y2Cu7
Source: Alexandria
Functional: PBE
Structure: relaxed

Output
ΔH_f (0 K) (eV/atom): -0.191
Symmetry: R-3m, No. 166
Electronic total energy (eV per cell): -86.65
Total magnetic moment (μB/cell): 0.000

```
Y2Cu7
1.0
-3.840 -3.335 -0.730
-0.507 -4.057 3.113
-8.669 4.205 8.310
Cu Y
14 4
Cartesian
-8.474 -1.689 7.033
-4.797 -3.537 5.224
-6.508 -1.593 5.346
-4.085 -3.831 2.825
-2.641 -1.363 2.035
-4.543 -1.498 3.659
-6.473 -3.174 3.292
-2.174 -3.696 1.192
-1.920 -1.668 -0.365
-10.375 -1.824 8.657
-0.253 -2.028 1.557
-8.931 0.644 7.868
-8.219 0.350 5.469
-6.543 -0.013 7.400
-7.575 3.195 7.171
-7.545 -4.438 5.711
-5.441 -6.381 3.522
-5.472 1.252 4.981
```

Entry 3:
Compound: Ga2PH
Source: Alexandria
Functional: PBE
Structure: relaxed

Output
Symmetry: Fm-3m, No. 225
Electronic total energy (eV per cell): -13.45
Excess energy over the best structure of this formula in the dataset (meV/atom): 225.4
Total magnetic moment (μB/cell): 0.000

```
Ga2PH
1.0
2.209 -3.712 0.346
1.947 -1.023 3.734
-1.553 -3.226 2.441
Ga P H
2 1 1
Cartesian
1.952 -5.971 4.891
0.651 -1.990 1.630
1.301 -3.980 3.260
0.000 0.000 0.000
```

Entry 4:
Compound: TlZnRh2
Source: Alexandria
Functional: PBE
Structure: relaxed

Output
ΔH_f (0 K) (eV/atom): 0.239
Symmetry: R3m, No. 160
Electronic total energy (eV per cell): -17.39
Total magnetic moment (μB/cell): 0.681

```
TlZnRh2
1.0
9.149 -0.011 -0.006
8.667 2.933 -0.006
8.667 1.422 2.565
Rh Zn Tl
2 1 1
Cartesian
6.794 1.114 0.655
0.012 0.002 0.001
19.572 3.210 1.887
13.346 2.189 1.287
```

Which of these has the lowest electronic total energy? Y2Cu7

total magnetic moment of number 2 (Y2Cu7)? 0.000 μB/cell

Look up the electronic total energy of the third one. -13.45 eV per cell